Record 1
DFT (PBE) results for crystalline TlTeF3 at its relaxed geometry.

The structure in POSCAR format:
```
TlTeF3
1.0
4.345 0.000 0.000
0.004 7.344 0.000
2.126 2.786 7.173
Tl Te F
2 2 6
direct
0.000 0.000 0.000 Tl
0.236 0.766 0.538 Tl
0.448 0.476 0.113 Te
0.797 0.292 0.422 Te
0.026 0.138 0.627 F
0.415 0.725 0.189 F
0.503 0.224 0.044 F
0.785 0.544 0.491 F
0.839 0.042 0.348 F
0.876 0.632 0.908 F
```

---

Record 2
DFT (PBE) results for crystalline TlTeF at its relaxed geometry.

The structure in POSCAR format:
```
TlTeF
1.0
3.383 0.000 0.000
-1.691 2.929 0.000
0.000 0.000 8.417
Tl Te F
1 1 1
direct
0.000 0.000 0.000 Tl
0.333 0.667 0.553 Te
0.667 0.333 0.173 F
```

---

Record 3
DFT (PBE) results for crystalline TlTe3F at its relaxed geometry.

The structure in POSCAR format:
```
TlTe3F
1.0
5.108 0.000 0.000
0.000 5.108 0.000
0.000 0.000 5.108
Tl Te F
1 3 1
direct
0.000 0.000 0.000 Tl
0.000 0.500 0.500 Te
0.500 0.000 0.500 Te
0.500 0.500 0.000 Te
0.500 0.500 0.500 F
```

---

Record 4
DFT (PBE) results for crystalline Tl2TeF5 at its relaxed geometry.

The structure in POSCAR format:
```
Tl2TeF5
1.0
5.257 0.000 0.000
0.127 6.014 0.000
2.137 2.889 6.053
Tl Te F
2 1 5
direct
0.000 0.000 0.000 Tl
0.312 0.361 0.310 Tl
0.669 0.651 0.663 Te
0.006 0.915 0.444 F
0.284 0.474 0.807 F
0.601 0.798 0.891 F
0.649 0.261 0.046 F
0.708 0.553 0.402 F
```

---

Record 5
DFT (PBE) results for crystalline TlTeF3 at its relaxed geometry.

The structure in POSCAR format:
```
TlTeF3
1.0
4.747 0.000 0.000
0.000 4.747 0.000
0.000 0.000 4.747
Tl Te F
1 1 3
direct
0.000 0.000 0.000 Tl
0.500 0.500 0.500 Te
0.000 0.500 0.500 F
0.500 0.000 0.500 F
0.500 0.500 0.000 F
```

---

Record 6
DFT (PBE) results for crystalline TlTeF2 at its relaxed geometry.

The structure in POSCAR format:
```
TlTeF2
1.0
6.774 0.000 0.000
0.000 6.774 0.000
0.000 0.000 6.774
Tl Te F
4 4 8
direct
0.000 0.000 0.000 Tl
0.000 0.500 0.500 Tl
0.500 0.000 0.500 Tl
0.500 0.500 0.000 Tl
0.000 0.000 0.500 Te
0.000 0.500 0.000 Te
0.500 0.000 0.000 Te
0.500 0.500 0.500 Te
0.250 0.250 0.250 F
0.250 0.250 0.750 F
0.250 0.750 0.250 F
0.250 0.750 0.750 F
0.750 0.250 0.250 F
0.750 0.250 0.750 F
0.750 0.750 0.250 F
0.750 0.750 0.750 F
```

---

Record 7
DFT (PBE) results for crystalline TlTeF4 at its relaxed geometry.

The structure in POSCAR format:
```
TlTeF4
1.0
7.867 -3.538 0.000
7.867 3.538 0.000
-0.932 0.000 4.383
Tl Te F
2 2 8
direct
0.179 0.179 0.109 Tl
0.821 0.821 0.891 Tl
0.422 0.422 0.659 Te
0.578 0.578 0.341 Te
0.169 0.578 0.373 F
0.278 0.278 0.695 F
0.281 0.719 0.000 F
0.422 0.831 0.627 F
0.578 0.169 0.373 F
0.719 0.281 0.000 F
0.722 0.722 0.305 F
0.831 0.422 0.627 F
```

---

Record 8
DFT (PBE) results for crystalline Tl2TeF6 at its relaxed geometry.

The structure in POSCAR format:
```
Tl2TeF6
1.0
3.899 -4.125 0.000
3.899 4.125 0.000
-3.392 0.000 6.278
Tl Te F
2 1 6
direct
0.168 0.168 0.328 Tl
0.832 0.832 0.672 Tl
0.500 0.500 0.000 Te
0.219 0.219 0.976 F
0.237 0.584 0.757 F
0.416 0.763 0.243 F
0.584 0.237 0.757 F
0.763 0.416 0.243 F
0.781 0.781 0.024 F
```

---

Record 9
DFT (PBE) results for crystalline TlTeF2 at its relaxed geometry.

The structure in POSCAR format:
```
TlTeF2
1.0
3.227 0.000 0.000
-1.613 2.794 0.000
0.000 0.000 26.698
Tl Te F
3 3 6
direct
0.000 0.000 0.000 Tl
0.333 0.667 0.667 Tl
0.667 0.333 0.333 Tl
0.000 0.000 0.500 Te
0.333 0.667 0.167 Te
0.667 0.333 0.833 Te
0.000 0.000 0.096 F
0.000 0.000 0.904 F
0.333 0.667 0.571 F
0.333 0.667 0.762 F
0.667 0.333 0.238 F
0.667 0.333 0.429 F
```

---

Record 10
DFT (PBE) results for crystalline TlTeF2 at its relaxed geometry.

The structure in POSCAR format:
```
TlTeF2
1.0
3.849 0.000 0.000
-1.925 3.333 0.000
0.000 0.000 22.933
Tl Te F
3 3 6
direct
0.000 0.000 0.000 Tl
0.333 0.667 0.667 Tl
0.667 0.333 0.333 Tl
0.000 0.000 0.500 Te
0.333 0.667 0.167 Te
0.667 0.333 0.833 Te
0.000 0.000 0.405 F
0.000 0.000 0.595 F
0.333 0.667 0.072 F
0.333 0.667 0.262 F
0.667 0.333 0.738 F
0.667 0.333 0.928 F
```

---

Record 11
DFT (PBE) results for crystalline Tl2TeF6 at its relaxed geometry.

The structure in POSCAR format:
```
Tl2TeF6
1.0
0.000 4.528 4.528
4.528 0.000 4.528
4.528 4.528 0.000
Tl Te F
2 1 6
direct
0.250 0.250 0.250 Tl
0.750 0.750 0.750 Tl
0.000 0.000 0.000 Te
0.231 0.231 0.769 F
0.231 0.769 0.231 F
0.231 0.769 0.769 F
0.769 0.231 0.231 F
0.769 0.231 0.769 F
0.769 0.769 0.231 F
```

---

Record 12
DFT (PBE) results for crystalline TlTe2F at its relaxed geometry.

The structure in POSCAR format:
```
TlTe2F
1.0
7.269 0.000 0.000
0.000 7.269 0.000
0.000 0.000 7.269
Tl Te F
4 8 4
direct
0.000 0.000 0.000 Tl
0.000 0.500 0.500 Tl
0.500 0.000 0.500 Tl
0.500 0.500 0.000 Tl
0.250 0.250 0.250 Te
0.250 0.250 0.750 Te
0.250 0.750 0.250 Te
0.250 0.750 0.750 Te
0.750 0.250 0.250 Te
0.750 0.250 0.750 Te
0.750 0.750 0.250 Te
0.750 0.750 0.750 Te
0.000 0.000 0.500 F
0.000 0.500 0.000 F
0.500 0.000 0.000 F
0.500 0.500 0.500 F
```

---

no.,formation energy without anion corrections (eV per atom),M_tot (μB per cell)
1,-1.73,0.00
2,-0.79,0.27
3,-0.15,0.00
4,-1.78,1.00
5,-1.37,0.00
6,-0.82,9.02
7,-1.83,0.00
8,-2.02,0.00
9,-0.94,0.00
10,-1.34,0.00
11,-1.97,0.00
12,-0.22,0.00